VASP calculation (PBE) on a relaxed Hf6InGa3 crystal.

Lattice parameters (Å, degrees): 7.3304 7.4160 7.4160 90.03 90.00 90.00
Closest atoms and distances in Å follow each position.
Atoms (fractional coordinates):
Ga 0.3985 0.3734 0.6266  1 In 2.67, 8 Hf 2.77-2.98
Ga 0.8985 0.8828 0.8706  1 Ga 2.59, 7 Hf 2.72-2.89
Ga 0.8985 0.1294 0.1172  1 Ga 2.59, 7 Hf 2.72-2.89
Ga 0.3985 0.8706 0.8828  1 Ga 2.59, 7 Hf 2.72-2.89
Ga 0.8985 0.6266 0.3734  1 In 2.67, 8 Hf 2.77-2.98
Ga 0.3985 0.1172 0.1294  1 Ga 2.59, 7 Hf 2.72-2.89
Hf 0.1357 0.8327 0.1673  5 Ga 2.77-2.87, 1 In 2.89
Hf 0.6485 0.3148 0.3148  4 Ga 2.72-2.98, 2 In 2.99
Hf 0.8986 0.9934 0.4973  3 Ga 2.87-2.99, 1 In 2.97
Hf 0.3986 0.4973 0.9934  3 Ga 2.87-2.99, 1 In 2.97
Hf 0.6357 0.1673 0.8327  5 Ga 2.77-2.87, 1 In 2.89
Hf 0.1614 0.1673 0.8327  5 Ga 2.77-2.87, 1 In 2.89
Hf 0.8986 0.5027 0.0066  3 Ga 2.87-2.99, 1 In 2.97
Hf 0.1485 0.3148 0.3148  4 Ga 2.72-2.98, 2 In 2.99
Hf 0.6485 0.6852 0.6852  4 Ga 2.72-2.98, 2 In 2.99
Hf 0.1485 0.6852 0.6852  4 Ga 2.72-2.98, 2 In 2.99
Hf 0.6614 0.8327 0.1673  5 Ga 2.77-2.87, 1 In 2.89
Hf 0.3986 0.0066 0.5027  3 Ga 2.87-2.99, 1 In 2.97
In 0.8986 0.3721 0.6279  1 Ga 2.67, 8 Hf 2.89-2.99
In 0.3986 0.6279 0.3721  1 Ga 2.67, 8 Hf 2.89-2.99

## Properties
Theoretical density = 11.49 g/cm³
D(E_F) = 1.08 states/eV/atom
Energy of formation from the pure elements = -0.3326 eV per atom